1.
DFT (PBE) results for a geometry-optimized SmCuAsF structure.

Raw formation energy (eV per atom): -1.88
Space group: P4/nmm, No. 129
Total moment (Bohr magnetons per cell): 0.00

Cell: 3.9262 3.9262 8.5453 Å, 90.00 90.00 90.00°
Sites, in units of the cell vectors:
Sm 0.5000 0.0000 0.6849
Sm 0.0000 0.5000 0.3151
Cu 0.5000 0.5000 0.0000
Cu 0.0000 0.0000 0.0000
As 0.0000 0.5000 0.8175
As 0.5000 0.0000 0.1825
F 0.0000 0.0000 0.5000
F 0.5000 0.5000 0.5000

***

2.
DFT (PBE) results for a geometry-optimized SrCuAsF structure.

Raw formation energy (eV per atom): -1.77
Space group: P4/nmm, No. 129
Total moment (Bohr magnetons per cell): 0.00

Cell: 4.1567 4.1567 8.5981 Å, 90.00 90.00 90.00°
Sites, in units of the cell vectors:
Sr 0.5000 0.0000 0.6642
Sr 0.0000 0.5000 0.3358
Cu 0.5000 0.5000 0.0000
Cu 0.0000 0.0000 0.0000
As 0.0000 0.5000 0.8485
As 0.5000 0.0000 0.1515
F 0.0000 0.0000 0.5000
F 0.5000 0.5000 0.5000

***

Which value of raw formation energy does entry 1 give?
-1.88 eV per atom

***

total moment of number 2 (SrCuAsF)?
0.00 Bohr magnetons per cell

***

What is the formula in the second record?
SrCuAsF

***

What did the second record say?
DFT (PBE) results for a geometry-optimized SrCuAsF structure.

Raw formation energy (eV per atom): -1.77
Space group: P4/nmm, No. 129
Total moment (Bohr magnetons per cell): 0.00

Cell: 4.1567 4.1567 8.5981 Å, 90.00 90.00 90.00°
Sites, in units of the cell vectors:
Sr 0.5000 0.0000 0.6642
Sr 0.0000 0.5000 0.3358
Cu 0.5000 0.5000 0.0000
Cu 0.0000 0.0000 0.0000
As 0.0000 0.5000 0.8485
As 0.5000 0.0000 0.1515
F 0.0000 0.0000 0.5000
F 0.5000 0.5000 0.5000